A relaxed structure of KAcFe2O5. Source: the Alexandria database, functional PBE+U.

POSCAR file:
```
KAcFe2O5
1.0
-0.117 0.379 -3.978
-1.061 -3.840 -0.334
-7.824 2.125 0.433
O Fe K Ac
5 2 1 1
Cartesian
-6.789 -0.220 0.179
-6.317 1.889 -1.642
-1.624 0.615 -1.902
-2.096 -1.495 -0.080
-4.502 -0.668 -1.939
-2.686 -1.161 -2.040
-6.317 -0.175 -1.839
-3.912 1.063 0.217
0.000 0.000 0.000
```

Results
Magnetic moment ... 10.00 μB per formula unit
Uncorrected energy ... -6.59 eV/atom